Material: RbZnPtCl6
Method: DFT, PBE
State: optimized geometry

Geometry as CIF:
```
data_RbZnPtCl6
_chemical_formula_sum 'Rb2 Zn2 Pt2 Cl12'
_cell_length_a 6.635
_cell_length_b 10.881
_cell_length_c 7.443
_cell_angle_alpha 90.00
_cell_angle_beta 92.55
_cell_angle_gamma 90.00
_symmetry_space_group_name_H-M 'C 1 2 1'
_symmetry_Int_Tables_number 5
loop_
_symmetry_equiv_pos_as_xyz
'x,y,z'
'-x,y,-z'
'x+1/2,y+1/2,z'
'-x+1/2,y+1/2,-z'
loop_
_atom_site_label
_atom_site_type_symbol
_atom_site_fract_x
_atom_site_fract_y
_atom_site_fract_z
Rb1 Rb 0.000 0.000 0.000
Zn1 Zn 0.000 0.325 0.500
Pt1 Pt 0.000 0.669 0.500
Cl1 Cl 0.132 0.510 0.681
Cl2 Cl 0.173 0.818 0.678
Cl3 Cl 0.180 0.193 0.703
```

Summary:
E_form (uncorrected) in meV per atom: -964
Crystal system: monoclinic